(1)
DFT (GGA-PBE) results for Nd2Ga3AsPt4 after structural relaxation.

a b c (Å): 4.3700 4.3700 10.2201
angles (deg): 90.00 90.00 90.00
Last column: nearest neighbours and their distance in Å.
Space group P-4m2 (No. 115)
One atom of each set of equivalent atoms:
Nd1 0.0000 0.5000 0.2480 (multiplicity 2)  8 Pt 3.32-3.38, 6 Ga 3.34-3.35, 2 As 3.35
Ga1 0.0000 0.0000 0.0000 (multiplicity 1)  4 Pt 2.55
Ga2 0.0000 0.5000 0.6285 (multiplicity 2)  5 Pt 2.48-2.55
As1 0.5000 0.5000 0.0000 (multiplicity 1)  4 Pt 2.55
Pt1 0.0000 0.0000 0.5000 (multiplicity 1)  4 Ga 2.55
Pt2 0.0000 0.5000 0.8713 (multiplicity 2)  3 Ga 2.48-2.55, 2 As 2.55
Pt3 0.5000 0.5000 0.5000 (multiplicity 1)  4 Ga 2.55

Computed properties:
The calculation puts the formation energy at -0.9421 eV per atom.

***

(2)
DFT (GGA-PBE) results for Nd2GaAsPt6 after structural relaxation.

a b c (Å): 5.6602 5.6602 23.2163
angles (deg): 90.00 90.00 120.00
Last column: nearest neighbours and their distance in Å.
Space group R-3m (No. 166, hexagonal axes)
One atom of each set of equivalent atoms:
Nd1 0.0000 0.0000 0.2040 (multiplicity 6)  9 Pt 3.04-3.28, 3 Ga 3.38
Ga1 0.0000 0.0000 0.5000 (multiplicity 3)  6 Pt 2.55
As1 0.0000 0.0000 0.0000 (multiplicity 3)  6 Pt 2.52
Pt1 0.0024 0.5012 0.2514 (multiplicity 18)  1 As 2.52, 1 Ga 2.55, 2 Pt 2.81

Computed properties:
The calculation puts the formation energy at -0.7801 eV per atom.

***

(3)
DFT (GGA-PBE) results for Nd3GaAs2Rh9 after structural relaxation.

a b c (Å): 6.2595 6.2595 9.0244
angles (deg): 90.00 90.00 120.00
Last column: nearest neighbours and their distance in Å.
Space group P-3m1 (No. 164)
One atom of each set of equivalent atoms:
Nd1 0.0000 0.0000 0.0000 (multiplicity 1)  12 Rh 2.98-3.13
Nd2 0.3333 0.6667 0.6990 (multiplicity 2)  9 Rh 3.15-3.26
Ga1 0.0000 0.0000 0.5000 (multiplicity 1)  6 Rh 2.50
As1 0.3333 0.6667 0.1733 (multiplicity 2)  6 Rh 2.29-2.39
Rh1 0.0000 0.5000 0.0000 (multiplicity 3)  2 As 2.39
Rh2 0.1426 0.2851 0.2819 (multiplicity 6)  1 As 2.29, 1 Ga 2.50

Computed properties:
The calculation puts the formation energy at -0.4261 eV per atom.

***

(4)
DFT (GGA-PBE) results for Nd6GaAs2Se3 after structural relaxation.

a b c (Å): 18.6540 4.2291 8.6114
angles (deg): 90.00 103.45 90.00
Last column: nearest neighbours and their distance in Å.
Space group C2/m (No. 12)
One atom of each set of equivalent atoms:
Nd1 0.0013 0.0000 0.2491 (multiplicity 4)  1 As 3.01, 2 Ga 3.01, 3 Se 3.03-3.07
Nd2 0.1648 0.5000 0.0876 (multiplicity 4)  1 Ga 2.99, 2 As 2.99, 3 Se 3.03-3.06
Nd3 0.1693 0.5000 0.5773 (multiplicity 4)  3 As 2.97, 3 Se 3.05-3.07
Ga1 0.0000 0.5000 0.0000 (multiplicity 2)  6 Nd 2.99-3.01
As1 0.1671 0.0000 0.3343 (multiplicity 4)  6 Nd 2.97-3.01
Se1 0.0000 0.5000 0.5000 (multiplicity 2)  6 Nd 3.03-3.07
Se2 0.1680 0.0000 0.8320 (multiplicity 4)  6 Nd 3.03-3.07

Computed properties:
As for the uncorrected formation energy: -149.7 kJ per mole of atoms.

***

(5)
DFT (GGA-PBE) results for Nd8GaTe4As3 after structural relaxation.

a b c (Å): 8.7262 8.7262 21.8975
angles (deg): 90.00 90.00 120.00
Last column: nearest neighbours and their distance in Å.
Space group R-3m (No. 166, hexagonal axes)
One atom of each set of equivalent atoms:
Nd1 0.0000 0.0000 0.2404 (multiplicity 6)  3 As 2.99, 3 Te 3.24
Nd2 0.0010 0.5005 0.2418 (multiplicity 18)  1 Ga 3.00, 2 As 3.01, 3 Te 3.22
Ga1 0.0000 0.0000 0.5000 (multiplicity 3)  6 Nd 3.00
Te1 0.0000 0.0000 0.0000 (multiplicity 3)  6 Nd 3.22
Te2 0.0000 0.5000 0.0000 (multiplicity 9)  6 Nd 3.22-3.24
As1 0.0000 0.5000 0.5000 (multiplicity 9)  6 Nd 2.99-3.01

Computed properties:
As for the uncorrected formation energy: -136.3 kJ per mole of atoms.

***

(6)
DFT (GGA-PBE) results for Nd6GaTe3As2 after structural relaxation.

a b c (Å): 19.3222 4.3341 8.9362
angles (deg): 90.00 104.68 90.00
Last column: nearest neighbours and their distance in Å.
Space group C2/m (No. 12)
One atom of each set of equivalent atoms:
Nd1 0.0049 0.0000 0.2390 (multiplicity 4)  2 Ga 3.03, 1 As 3.04, 3 Te 3.20-3.23
Nd2 0.1610 0.5000 0.0974 (multiplicity 4)  1 Ga 3.01, 2 As 3.01, 3 Te 3.21-3.24
Nd3 0.1728 0.5000 0.5676 (multiplicity 4)  3 As 2.99, 3 Te 3.23-3.24
Ga1 0.0000 0.5000 0.0000 (multiplicity 2)  6 Nd 3.01-3.03
Te1 0.0000 0.5000 0.5000 (multiplicity 2)  6 Nd 3.20-3.24
Te2 0.1678 0.0000 0.8321 (multiplicity 4)  6 Nd 3.21-3.24
As1 0.1672 0.0000 0.3347 (multiplicity 4)  6 Nd 2.99-3.04

Computed properties:
As for the uncorrected formation energy: -131.4 kJ per mole of atoms.

***

Question: Which formula does entry 2 have?
Answer: Nd2GaAsPt6